No. 1
AlSi2Pt: optimized geometry, GGA-PBE.

Cell lengths 5.6270, 5.6270, 6.7864 Å; angles 65.51, 65.51, 90.00 degrees
Fractional positions:
Al 0.2500 0.7500 0.5000
Si 0.6507 0.1250 0.2500
Si 0.3750 0.3493 0.7500
Pt 0.7500 0.2500 0.5000
Al 0.5000 0.5000 0.0000
Pt 0.0000 0.0000 0.0000
Si 0.0993 0.6250 0.2500
Si 0.8750 0.9007 0.7500

Properties
Formation energy (no corrections) ... 33 meV per atom
V ... 21.76 Å³ per atom
Total DFT energy (no corrections) ... -41.00 eV per cell
Symmetry ... No. 122
M_tot ... 0.00 μB per formula unit

***

No. 2
KLiCu2Cl4: optimized geometry, GGA-PBE.

Cell lengths 6.4554, 6.4783, 6.4783 Å; angles 72.03, 60.12, 60.12 degrees
Fractional positions:
Cl 0.0971 0.8369 0.5068
Cu 0.1577 0.3423 0.3423
K 0.0000 0.0000 0.0000
Cl 0.9029 0.4932 0.1631
Cl 0.5591 0.5068 0.8369
Li 0.5000 0.5000 0.5000
Cu 0.8423 0.6577 0.6577
Cl 0.4409 0.1631 0.4932

Properties
Formation energy (no corrections) ... -1168 meV per atom
V ... 25.38 Å³ per atom
Total DFT energy (no corrections) ... -27.94 eV per cell
Symmetry ... No. 23
M_tot ... 0.00 μB per formula unit

***

No. 3
Tl2AsW: optimized geometry, GGA-PBE.

Cell lengths 5.9988, 5.8912, 2.9822 Å; angles 77.20, 86.44, 119.56 degrees
Site moments in Bohr magnetons follow the coordinates.
Fractional positions:
Tl 0.0000 0.0000 0.0000  0.00
W 0.0000 0.5000 0.5000  0.44
Tl 0.5000 0.0000 0.5000  0.00
As 0.5000 0.5000 0.0000  -0.01

Properties
ΔE to the lowest computed polymorph ... 0.6705 eV per atom
V ... 21.89 Å³ per atom
ΔE_f ... 1.0075 eV per atom
Total DFT energy (no corrections) ... -18.31 eV per cell
Symmetry ... No. 12
M_tot ... 0.56 μB per formula unit

***

No. 4
YMgSb2I: optimized geometry, GGA-PBE.

Cell lengths 5.9193, 5.5571, 5.9193 Å; angles 90.00, 90.00, 90.00 degrees
Fractional positions:
I 0.0000 0.0000 0.0000
Y 0.0000 0.5000 0.0000
Sb 0.0000 0.0000 0.5000
Sb 0.5000 0.0000 0.0000
Mg 0.5000 0.5000 0.5000

Properties
ΔE to the lowest computed polymorph ... 0.6435 eV per atom
Formation energy (no corrections) ... 661 meV per atom
V ... 38.94 Å³ per atom
Total DFT energy (no corrections) ... -14.55 eV per cell
Symmetry ... No. 123
M_tot ... 0.00 μB per formula unit

***

No. 5
Sm4Pu3Se8: optimized geometry, GGA-PBE.

Cell lengths 8.3045, 8.3034, 8.3034 Å; angles 90.06, 119.98, 119.98 degrees
Site moments in Bohr magnetons follow the coordinates.
Fractional positions:
Pu 0.5000 0.0000 0.5000  5.37
Sm 0.0000 0.0000 0.0000  0.02
Sm 0.0000 0.5000 0.0000  0.02
Se 0.5035 0.2516 0.2516  -0.03
Se 0.0000 0.2522 0.7478  -0.05
Se 0.0000 0.7478 0.2522  -0.05
Se 0.4965 0.7484 0.7484  -0.03
Se 0.9985 0.7464 0.7464  0.03
Sm 0.0000 0.0000 0.5000  0.02
Se 0.5000 0.7494 0.2506  -0.02
Pu 0.5000 0.5000 0.0000  5.37
Se 0.5000 0.2506 0.7494  -0.02
Sm 0.5000 0.0000 0.0000  0.01
Pu 0.5000 0.5000 0.5000  -5.34
Se 0.0015 0.2536 0.2536  0.03

Properties
Formation energy (no corrections) ... -1736 meV per atom
V ... 26.99 Å³ per atom
Total DFT energy (no corrections) ... -115.79 eV per cell
Symmetry ... No. 12
M_tot ... 5.76 μB per formula unit

***

No. 6
La6HoTh: optimized geometry, GGA-PBE.

Cell lengths 5.1968, 5.1968, 10.3955 Å; angles 90.00, 90.00, 90.00 degrees
Fractional positions:
La 0.0000 0.5000 0.2546
Th 0.0000 0.0000 0.5000
La 0.5000 0.5000 0.0000
La 0.0000 0.5000 0.7454
La 0.5000 0.0000 0.7454
La 0.5000 0.0000 0.2546
La 0.5000 0.5000 0.5000
Ho 0.0000 0.0000 0.0000

Properties
ΔE to the lowest computed polymorph ... 0.0000 eV per atom
V ... 35.09 Å³ per atom
ΔE_f ... 0.0310 eV per atom
Total DFT energy (no corrections) ... -41.31 eV per cell
Symmetry ... No. 123
M_tot ... 0.00 μB per formula unit

***

No. 7
LaBSb2Te: optimized geometry, GGA-PBE.

Cell lengths 6.0949, 6.0949, 6.0867 Å; angles 90.00, 90.00, 90.00 degrees
Fractional positions:
B 0.5000 0.5000 0.5000
La 0.0000 0.0000 0.0000
Sb 0.0000 0.5000 0.0000
Te 0.0000 0.0000 0.5000
Sb 0.5000 0.0000 0.0000

Properties
ΔE to the lowest computed polymorph ... 1.2340 eV per atom
Formation energy (no corrections) ... 1274 meV per atom
V ... 45.22 Å³ per atom
Total DFT energy (no corrections) ... -16.62 eV per cell
Symmetry ... No. 123
M_tot ... 0.00 μB per formula unit

***

No. 8
KNaSr2: optimized geometry, GGA-PBE.

Cell lengths 4.2175, 4.2175, 14.8542 Å; angles 81.84, 81.84, 60.00 degrees
Fractional positions:
K 0.0000 0.0000 0.0000
Na 0.5000 0.5000 0.5000
Sr 0.0947 0.0947 0.7160
Sr 0.9053 0.9053 0.2840

Properties
V ... 56.43 Å³ per atom
ΔE_f ... 0.1326 eV per atom
Total DFT energy (no corrections) ... -5.25 eV per cell
Symmetry ... No. 166
M_tot ... 0.00 μB per formula unit